Compound: Pr3S2Cl
Source: Alexandria
Functional: PBE-GGA
Structure: optimized geometry

E_form (uncorrected): -1.800 eV per atom
Magnetic moment: 0.0 μB per formula unit

Cell lengths 3.962, 3.962, 22.029 Å; angles 90.00, 90.00, 120.00 degrees
Positions (direct):
Pr 0.000 0.000 0.000
Pr 0.000 0.000 0.500
Pr 0.333 0.667 0.154
Pr 0.333 0.667 0.346
Pr 0.667 0.333 0.654
Pr 0.667 0.333 0.846
S 0.333 0.667 0.579
S 0.333 0.667 0.921
S 0.667 0.333 0.079
S 0.667 0.333 0.421
Cl 0.000 0.000 0.250
Cl 0.000 0.000 0.750

Compound: Pr4S4Cl3
Source: Alexandria
Functional: PBE-GGA
Structure: optimized geometry

E_form (uncorrected): -1.940 eV per atom
Magnetic moment: 0.0 μB per formula unit

Cell lengths 9.401, 9.401, 9.401 Å; angles 154.78, 128.48, 58.20 degrees
Positions (direct):
Pr 0.235 0.235 0.000
Pr 0.275 0.500 0.775
Pr 0.725 0.500 0.225
Pr 0.765 0.765 0.000
S 0.037 0.334 0.703
S 0.370 0.666 0.703
S 0.630 0.334 0.297
S 0.963 0.666 0.297
Cl 0.000 0.000 0.000
Cl 0.411 0.911 0.500
Cl 0.589 0.089 0.500

Compound: Pr4S2Cl3
Source: Alexandria
Functional: PBE-GGA
Structure: optimized geometry

E_form (uncorrected): -1.915 eV per atom
Magnetic moment: 0.0 μB per formula unit

Cell lengths 4.127, 4.127, 16.870 Å; angles 90.05, 90.05, 60.00 degrees
Positions (direct):
Pr 0.001 0.001 0.293
Pr 0.334 0.334 0.115
Pr 0.666 0.666 0.885
Pr 0.999 0.999 0.707
S 0.333 0.333 0.797
S 0.667 0.667 0.203
Cl 0.000 0.000 0.000
Cl 0.334 0.334 0.394
Cl 0.666 0.666 0.606

Compound: PrSCl
Source: Alexandria
Functional: PBE-GGA
Structure: optimized geometry

E_form (uncorrected): -2.019 eV per atom
Magnetic moment: 0.0 μB per formula unit

Cell lengths 7.141, 3.881, 7.421 Å; angles 90.00, 118.08, 90.00 degrees
Positions (direct):
Pr 0.000 0.000 0.000
Pr 0.249 0.000 0.584
S 0.116 0.500 0.782
S 0.249 0.500 0.300
Cl 0.634 0.500 0.809
Cl 0.832 0.000 0.276

Compound: Pr3S2Cl2
Source: Alexandria
Functional: PBE-GGA
Structure: optimized geometry

E_form (uncorrected): -1.789 eV per atom
Magnetic moment: 0.0 μB per formula unit

Cell lengths 4.132, 6.864, 7.171 Å; angles 78.74, 73.30, 89.98 degrees
Positions (direct):
Pr 0.000 0.000 0.000
Pr 0.256 0.749 0.489
Pr 0.744 0.251 0.511
S 0.129 0.372 0.739
S 0.871 0.628 0.261
Cl 0.388 0.163 0.223
Cl 0.612 0.837 0.777

Compound: Pr3S3Cl
Source: Alexandria
Functional: PBE-GGA
Structure: optimized geometry

E_form (uncorrected): -1.921 eV per atom
Magnetic moment: 0.0 μB per formula unit

Cell lengths 8.841, 8.841, 5.727 Å; angles 90.00, 90.00, 120.00 degrees
Positions (direct):
Pr 0.029 0.339 0.250
Pr 0.310 0.971 0.250
Pr 0.339 0.310 0.750
Pr 0.661 0.690 0.250
Pr 0.690 0.029 0.750
Pr 0.971 0.661 0.750
S 0.040 0.352 0.750
S 0.312 0.960 0.750
S 0.352 0.312 0.250
S 0.648 0.688 0.750
S 0.688 0.040 0.250
S 0.960 0.648 0.250
Cl 0.333 0.667 0.250
Cl 0.667 0.333 0.750

Compound: PrSCl
Source: Alexandria
Functional: PBE-GGA
Structure: optimized geometry

E_form (uncorrected): -2.050 eV per atom
Magnetic moment: 0.0 μB per formula unit

Cell lengths 4.273, 4.273, 6.620 Å; angles 90.00, 90.00, 120.00 degrees
Positions (direct):
Pr 0.000 0.000 0.000
S 0.333 0.667 0.186
Cl 0.667 0.333 0.752

Compound: Pr4SeS2Cl
Source: Alexandria
Functional: PBE-GGA
Structure: optimized geometry

E_form (uncorrected): -1.778 eV per atom
Magnetic moment: 0.0 μB per formula unit

Cell lengths 7.162, 5.875, 7.197 Å; angles 65.54, 48.30, 66.16 degrees
Positions (direct):
Pr 0.248 0.752 0.248
Pr 0.516 0.972 0.484
Pr 0.752 0.248 0.752
Pr 0.972 0.516 0.028
Se 0.017 0.017 0.983
S 0.250 0.250 0.250
S 0.750 0.750 0.750
Cl 0.472 0.472 0.528